DFT (PBE) results for AlCuCl after structural relaxation.

Values from the calculation:
For the formation energy from raw total energies, the calculation gives 0.287 eV per atom. As for the calculated volume: 63 Å³ per cell.

a b c (Å): 4.4735 4.4735 4.4735
angles (deg): 60.00 60.00 60.00
Last column: nearest neighbours and their distance in Å.
Element x y z (fractional)
Al  0.0000  0.0000  0.0000  4 Cu 2.74
Cl  0.5000  0.5000  0.5000  4 Cu 2.74
Cu  0.7500  0.7500  0.7500  4 Cl 2.74, 4 Al 2.74